Y3Al2Zn3 | PBE | optimized geometry

Results
Magnetic moment   0.00 μB/cell
Energy of formation   -429 meV per atom

CIF file:
```
data_Y3Al2Zn3
_chemical_formula_sum 'Y12 Al8 Zn12'
_cell_length_a 4.3936
_cell_length_b 10.7506
_cell_length_c 14.5749
_cell_angle_alpha 90.00
_cell_angle_beta 90.00
_cell_angle_gamma 90.00
_space_group_name_H-M_alt 'C m c m'
_space_group_IT_number 63
_space_group_name_Hall '-C 2c 2'
loop_
_atom_site_label
_atom_site_type_symbol
_atom_site_fract_x
_atom_site_fract_y
_atom_site_fract_z
_atom_site_occupancy
Y1 Y 0.0000 0.0852 0.1109 1
Y2 Y 0.0000 0.3695 0.2500 1
Al1 Al 0.0000 0.2078 0.5960 1
Zn1 Zn 0.0000 0.3399 0.7500 1
Zn2 Zn 0.0000 0.3892 0.0367 1
```